# Dy5Y12Ho2

An optimized crystal structure of Dy5Y12Ho2 (GGA-PBE, Alexandria via LeMat-Bulk).

abc: 6.165 9.399 10.686
angles: 78.96 84.43 89.99
Space group P-1 (No. 2)
Symmetry-distinct sites (fractional):
1 Dy 0.000 0.000 0.000 (multiplicity 1)
2 Dy 0.157 0.632 0.052 (multiplicity 2)
3 Dy 0.422 0.685 0.474 (multiplicity 2)
4 Y 0.052 0.210 0.684 (multiplicity 2)
5 Y 0.106 0.421 0.369 (multiplicity 2)
6 Y 0.211 0.843 0.736 (multiplicity 2)
7 Y 0.315 0.263 0.105 (multiplicity 2)
8 Y 0.368 0.474 0.789 (multiplicity 2)
9 Y 0.473 0.894 0.158 (multiplicity 2)
10 Ho 0.264 0.052 0.422 (multiplicity 2)

Summary:
ρ: 6.07 g/cm3
raw total energy: -5.7545 eV per atom
E above lowest polymorph: 0.00 eV/f.u.
energy of formation: 0.02 eV/atom
crystal system: triclinic
total magnetic moment: 0.000 Bohr magnetons per cell